Record 1
This record from the Alexandria database describes NbGaAsBr2 after structural relaxation. The functional is PBE. Values from VASP.

Cell and atoms, written as Quantum ESPRESSO input:
```
&SYSTEM
  ibrav = 0, nat = 5, ntyp = 4
/
ATOMIC_SPECIES
Nb 92.91 Nb.upf
Ga 69.72 Ga.upf
As 74.92 As.upf
Br 79.90 Br.upf
ATOMIC_POSITIONS angstrom
Nb -1.746 -1.723 -3.622
Ga 0.000 0.000 0.000
As -2.421 -0.655 -0.279
Br 0.712 -2.174 -1.071
Br -0.037 1.107 -2.271
CELL_PARAMETERS angstrom
-0.075 2.213 -4.542
1.424 -4.349 -2.143
-4.841 -1.310 -0.559
```

## Properties
Total magnetization   0.49 μB/atom
Relative energy among the computed polymorphs   3.80 eV per formula unit
DOS at the Fermi energy   0.77 states/eV per atom

***

Record 2
This record from the Alexandria database describes NbGaAsBr2 after structural relaxation. The functional is PBE. Values from VASP.

Cell and atoms, written as Quantum ESPRESSO input:
```
&SYSTEM
  ibrav = 0, nat = 5, ntyp = 4
/
ATOMIC_SPECIES
Nb 92.91 Nb.upf
Ga 69.72 Ga.upf
As 74.92 As.upf
Br 79.90 Br.upf
ATOMIC_POSITIONS angstrom
Nb 0.000 0.000 0.000
Ga -4.261 0.241 1.459
As -0.660 0.792 2.302
Br -1.682 -2.029 0.216
Br -1.920 1.478 -1.059
CELL_PARAMETERS angstrom
-3.840 2.957 -2.118
-3.364 -4.058 0.432
-1.320 1.584 4.603
```

## Properties
Total magnetization   0.05 μB/atom
Relative energy among the computed polymorphs   0.00 eV per formula unit
DOS at the Fermi energy   0.35 states/eV per atom

***

Record 3
This record from the Alexandria database describes Nd4GaAsBr2 after structural relaxation. The functional is PBE. Values from VASP.

Cell and atoms, written as Quantum ESPRESSO input:
```
&SYSTEM
  ibrav = 0, nat = 8, ntyp = 4
/
ATOMIC_SPECIES
Nd 144.24 Nd.upf
Ga 69.72 Ga.upf
As 74.92 As.upf
Br 79.90 Br.upf
ATOMIC_POSITIONS angstrom
Nd -8.827 -1.371 1.751
Nd -4.143 2.633 -2.209
Nd -6.460 -0.599 -1.789
Nd -6.510 1.862 1.330
Ga -3.644 -0.247 -2.455
As -5.971 -1.013 1.076
Br -5.682 1.757 4.451
Br -3.355 2.523 0.920
CELL_PARAMETERS angstrom
-1.029 3.289 -2.611
-6.260 -3.782 -2.298
-5.682 1.757 4.451
```

## Properties
Total magnetization   0.00 μB/atom
DOS at the Fermi energy   0.52 states/eV per atom

***

no.,E_form (uncorrected) (eV/atom)
1,0.67
2,-0.09
3,-1.17